# Tl2CdMo GGA-PBE relaxed
# Spin magnetization = 0.0 μB per cell
# Excess energy over the best structure of this formula in the dataset = 155 meV per atom
# Theoretical density = 11.98 Mg/m³
# Total energy = -27.62 eV/cell
# Energy of formation from the pure elements = 667 meV per atom
data_Tl2CdMo
_symmetry_space_group_name_H-M 'I 4/m m m'
_symmetry_Int_Tables_number 139
_symmetry_space_group_name_Hall '-I 4 2'
_cell_length_a 4.2669
_cell_length_b 4.2669
_cell_length_c 9.3931
_cell_angle_alpha 90.00
_cell_angle_beta 90.00
_cell_angle_gamma 90.00
loop_
_atom_site_label
_atom_site_type_symbol
_atom_site_fract_x
_atom_site_fract_y
_atom_site_fract_z
_atom_site_occupancy
Tl1 Tl 0.0000 0.5000 0.2500 1
Cd1 Cd 0.0000 0.0000 0.0000 1
Mo1 Mo 0.0000 0.0000 0.5000 1